Compound: PmSmSc
Source: Alexandria
Functional: PBE
Structure: relaxed

Output
**Formation energy**: 0.24 eV/f.u.
**Density of states at the Fermi level**: 1.481 states/eV per atom
**Polymorph energy (0 for the lowest one)**: 0.0265 eV per atom
**Crystal system**: trigonal
**DFT total energy**: -5.19 eV per atom

Structure (extended XYZ):
```
3
Lattice="5.5432 0.0000 0.0000 -2.7716 4.8005 0.0000 0.0000 0.0000 3.4319" Properties=species:S:1:pos:R:3 pbc="T T T"
Pm 0.0000 0.0000 0.0000
Sm 2.7716 1.6002 1.7181
Sc 0.0000 3.2004 0.0056
```

Compound: Pm6SmSc3
Source: Alexandria
Functional: PBE
Structure: relaxed

Output
**Formation energy**: 1.77 eV/f.u.
**Density of states at the Fermi level**: 1.815 states/eV per atom
**Polymorph energy (0 for the lowest one)**: 0.0374 eV per atom
**Crystal system**: trigonal
**DFT total energy**: -5.04 eV per atom

Structure (extended XYZ):
```
10
Lattice="4.8804 2.8177 3.8600 -4.8804 2.8177 3.8600 0.0000 -5.6354 3.8600" Properties=species:S:1:pos:R:3 pbc="T T T"
Pm -1.6473 -2.7823 3.8600
Pm -3.2540 0.0000 5.7900
Pm -1.5859 2.8177 3.8600
Pm 1.6270 -2.8181 5.7900
Pm 3.2332 -0.0354 3.8600
Pm 1.6270 2.8181 5.7900
Sm 0.0000 0.0000 0.0000
Sc 0.0000 0.0000 3.0052
Sc 0.0000 0.0000 5.7900
Sc 0.0000 0.0000 8.5747
```

Compound: PmSm4Sc4
Source: Alexandria
Functional: PBE
Structure: relaxed

Output
**Formation energy**: 0.53 eV/f.u.
**Density of states at the Fermi level**: 1.473 states/eV per atom
**Crystal system**: tetragonal
**DFT total energy**: -5.38 eV per atom

Structure (extended XYZ):
```
9
Lattice="-5.2090 5.2090 2.4356 5.2090 -5.2090 2.4356 5.2090 5.2090 -2.4356" Properties=species:S:1:pos:R:3 pbc="T T T"
Pm 0.0000 0.0000 0.0000
Sm 3.4120 0.0000 0.0000
Sm 7.0060 0.0000 0.0000
Sm 0.0000 3.4120 0.0000
Sm 0.0000 7.0060 0.0000
Sc 3.4689 3.4689 0.0000
Sc 1.7401 -1.7401 2.4356
Sc -1.7401 1.7401 2.4356
Sc 1.7401 1.7401 2.4356
```

Compound: PmSm4Sc2
Source: Alexandria
Functional: PBE
Structure: relaxed

Output
**Formation energy**: 1.27 eV/f.u.
**Density of states at the Fermi level**: 1.671 states/eV per atom
**Polymorph energy (0 for the lowest one)**: 0.1254 eV per atom
**Crystal system**: monoclinic
**DFT total energy**: -5.00 eV per atom

Structure (extended XYZ):
```
14
Lattice="8.6282 0.0000 0.0000 0.0000 6.4529 0.0000 -4.2035 0.0000 7.9208" Properties=species:S:1:pos:R:3 pbc="T T T"
Pm -0.7803 1.6132 2.6407
Pm 5.2049 4.8397 5.2801
Sm -1.1029 1.6132 5.9641
Sm -0.7907 4.8397 7.2335
Sm 2.2814 0.0175 2.1213
Sm 2.2814 3.2090 2.1213
Sm 2.1432 3.2439 5.7995
Sm 2.1432 6.4354 5.7995
Sm 5.2153 1.6132 0.6873
Sm 5.5275 4.8397 1.9568
Sc -0.2469 4.8397 0.4765
Sc -0.3762 4.8397 3.8840
Sc 4.8008 1.6132 4.0368
Sc 4.6715 1.6132 7.4443
```

Compound: Pm4Sm4Sc3
Source: Alexandria
Functional: PBE
Structure: relaxed

Output
**Formation energy**: 1.17 eV/f.u.
**Density of states at the Fermi level**: 1.976 states/eV per atom
**Crystal system**: monoclinic
**DFT total energy**: -5.06 eV per atom

Structure (extended XYZ):
```
11
Lattice="17.8576 -1.7258 0.0000 17.8576 1.7258 0.0000 -0.8799 0.0000 5.5527" Properties=species:S:1:pos:R:3 pbc="T T T"
Pm 3.1213 0.0000 0.5028
Pm 7.5638 0.0000 4.0521
Pm 27.2714 0.0000 1.5006
Pm 31.7139 0.0000 5.0499
Sm 1.1590 0.0000 3.0387
Sm 6.2383 0.0000 0.9962
Sm 28.5970 0.0000 4.5565
Sm 33.6763 0.0000 2.5140
Sc 12.7411 0.0000 2.0271
Sc 17.8576 0.0000 0.0000
Sc 22.0942 0.0000 3.5256
```

Compound: PmSm7Sc3
Source: Alexandria
Functional: PBE
Structure: relaxed

Output
**Formation energy**: 2.61 eV/f.u.
**Density of states at the Fermi level**: 1.454 states/eV per atom
**Crystal system**: orthorhombic
**DFT total energy**: -4.92 eV per atom

Structure (extended XYZ):
```
11
Lattice="-2.9025 5.3577 5.6615 2.9025 -5.3577 5.6615 2.9025 5.3577 -5.6615" Properties=species:S:1:pos:R:3 pbc="T T T"
Pm 0.0000 0.0000 0.0000
Sm 2.9025 0.0000 0.0000
Sm 2.9025 3.3157 -2.3484
Sm 0.0000 3.2506 0.0000
Sm 0.0000 2.0420 3.3131
Sm 2.9025 3.3157 2.3484
Sm 0.0000 7.4648 0.0000
Sm 0.0000 2.0420 8.0099
Sc 2.9025 0.0000 3.2971
Sc 0.0000 0.0000 5.6615
Sc 0.0000 5.3577 2.3644
```

Compound: PmSm5Sc
Source: Alexandria
Functional: PBE
Structure: relaxed

Output
**Formation energy**: 1.73 eV/f.u.
**Density of states at the Fermi level**: 1.338 states/eV per atom
**Crystal system**: tetragonal
**DFT total energy**: -4.71 eV per atom

Structure (extended XYZ):
```
7
Lattice="5.3005 0.0000 0.0000 0.0000 5.3005 0.0000 0.0000 0.0000 8.5848" Properties=species:S:1:pos:R:3 pbc="T T T"
Pm 0.0000 0.0000 0.0000
Sm 0.0000 2.6503 2.4750
Sm 0.0000 2.6503 6.1099
Sm 2.6503 0.0000 2.4750
Sm 2.6503 0.0000 6.1099
Sm 2.6503 2.6503 0.0000
Sc 0.0000 0.0000 4.2924
```

Compound: Pm2Sm5Sc4
Source: Alexandria
Functional: PBE
Structure: relaxed

Output
**Formation energy**: 2.02 eV/f.u.
**Density of states at the Fermi level**: 1.471 states/eV per atom
**Crystal system**: monoclinic
**DFT total energy**: -5.13 eV per atom

Structure (extended XYZ):
```
11
Lattice="5.9903 -3.3661 0.0000 5.9903 3.3661 0.0000 -5.8870 0.0000 8.4156" Properties=species:S:1:pos:R:3 pbc="T T T"
Pm -0.6490 0.0000 2.1875
Pm 6.7426 0.0000 6.2281
Sm 2.1019 1.8243 2.8002
Sm 3.9918 1.8243 5.6154
Sm 5.9903 0.0000 0.0000
Sm 2.1019 -1.8243 2.8002
Sm 3.9918 -1.8243 5.6154
Sc 2.7743 0.0000 0.2340
Sc 1.1512 0.0000 5.3386
Sc 4.9424 0.0000 3.0770
Sc 3.3193 0.0000 8.1816
```

Compound: PmSmSc2
Source: Alexandria
Functional: PBE
Structure: relaxed

Output
**Formation energy**: 0.20 eV/f.u.
**Density of states at the Fermi level**: 1.556 states/eV per atom
**Polymorph energy (0 for the lowest one)**: 0.0007 eV per atom
**Crystal system**: tetragonal
**DFT total energy**: -5.48 eV per atom

Structure (extended XYZ):
```
4
Lattice="-2.5033 2.5033 4.6123 2.5033 -2.5033 4.6123 2.5033 2.5033 -4.6123" Properties=species:S:1:pos:R:3 pbc="T T T"
Pm 0.0000 0.0000 0.0000
Sm 0.0000 0.0000 4.6123
Sc 2.5033 0.0000 2.3061
Sc 0.0000 2.5033 2.3061
```

Compound: Pm6Sm3Sc
Source: Alexandria
Functional: PBE
Structure: relaxed

Output
**Formation energy**: 1.39 eV/f.u.
**Density of states at the Fermi level**: 1.306 states/eV per atom
**Polymorph energy (0 for the lowest one)**: 0.0000 eV per atom
**Crystal system**: orthorhombic
**DFT total energy**: -4.76 eV per atom

Structure (extended XYZ):
```
20
Lattice="5.4878 -9.6092 0.0000 5.4878 9.6092 0.0000 0.0000 0.0000 6.3659" Properties=species:S:1:pos:R:3 pbc="T T T"
Pm 5.4878 8.8093 3.1829
Pm 2.8814 4.0264 0.1725
Pm 5.4878 4.2921 4.7442
Pm 3.6528 0.8228 5.3430
Pm 3.6528 -0.8228 2.1601
Pm 2.8814 -4.0264 3.3555
Pm 8.0943 4.0264 0.1725
Pm 7.3228 0.8228 5.3430
Pm 7.3228 -0.8228 2.1601
Pm 5.4878 -4.2921 1.5612
Pm 8.0943 -4.0264 3.3555
Pm 5.4878 -8.8093 0.0000
Sm 1.8476 2.2074 2.7726
Sm 1.8476 -2.2074 5.9555
Sm 5.4878 2.2229 2.0176
Sm 5.4878 -2.2229 5.2006
Sm 9.1281 2.2074 2.7726
Sm 9.1281 -2.2074 5.9555
Sc 5.4878 5.7937 1.7366
Sc 5.4878 -5.7937 4.9196
```

Compound: Pm3Sm5Sc
Source: Alexandria
Functional: PBE
Structure: relaxed

Output
**Formation energy**: 2.96 eV/f.u.
**Density of states at the Fermi level**: 1.280 states/eV per atom
**Crystal system**: monoclinic
**DFT total energy**: -4.58 eV per atom

Structure (extended XYZ):
```
18
Lattice="5.6051 -4.1021 0.0000 5.6051 4.1021 0.0000 -5.5229 0.0000 13.5815" Properties=species:S:1:pos:R:3 pbc="T T T"
Pm 0.0000 0.0000 0.0000
Pm -2.7614 0.0000 6.7907
Pm -0.1691 0.0000 3.4462
Pm -0.1420 0.0000 10.1006
Pm 5.8293 0.0000 3.4808
Pm 5.8564 0.0000 10.1352
Sm 2.8440 1.7376 4.5710
Sm 0.6112 0.0000 6.7777
Sm 2.7742 0.0000 1.5750
Sm 5.6051 1.4309 0.0000
Sm 2.8432 1.7376 9.0105
Sm 2.8440 -1.7376 4.5710
Sm 5.6051 -1.4309 0.0000
Sm 2.9131 0.0000 12.0065
Sm 5.0761 0.0000 6.8038
Sm 2.8432 -1.7376 9.0105
Sc -2.7463 0.0000 11.9452
Sc 8.4336 0.0000 1.6363
```

Compound: Pm6Sm3Sc2
Source: Alexandria
Functional: PBE
Structure: relaxed

Output
**Formation energy**: 2.23 eV/f.u.
**Density of states at the Fermi level**: 1.510 states/eV per atom
**Crystal system**: monoclinic
**DFT total energy**: -4.83 eV per atom

Structure (extended XYZ):
```
11
Lattice="3.1107 -5.3960 0.0000 3.1107 5.3960 0.0000 -2.0981 0.0000 11.1528" Properties=species:S:1:pos:R:3 pbc="T T T"
Pm 1.0272 1.7916 2.6081
Pm -0.0258 0.0000 8.5406
Pm 1.0272 -1.7916 2.6081
Pm 3.0961 1.7916 8.5447
Pm 4.1491 0.0000 2.6122
Pm 3.0961 -1.7916 8.5447
Sm 2.0616 3.6077 5.5764
Sm 2.0616 0.0000 5.5764
Sm 2.0616 -3.6077 5.5764
Sc 3.1107 1.7954 0.0000
Sc 3.1107 -1.7954 0.0000
```

Compound: Pm2Sm7Sc2
Source: Alexandria
Functional: PBE
Structure: relaxed

Output
**Formation energy**: 1.99 eV/f.u.
**Density of states at the Fermi level**: 1.621 states/eV per atom
**Polymorph energy (0 for the lowest one)**: 0.0000 eV per atom
**Crystal system**: orthorhombic
**DFT total energy**: -4.84 eV per atom

Structure (extended XYZ):
```
11
Lattice="-1.7842 8.8337 5.7815 1.7842 -8.8337 5.7815 1.7842 8.8337 -5.7815" Properties=species:S:1:pos:R:3 pbc="T T T"
Pm 0.0000 3.7677 0.0000
Pm 0.0000 13.8997 0.0000
Sm 0.0000 0.0000 0.6789
Sm 1.7842 -2.9749 2.8629
Sm 1.7842 6.9264 0.0453
Sm 1.7842 2.9749 2.8629
Sm 0.0000 6.0322 2.9772
Sm 0.0000 1.9073 5.8268
Sm 0.0000 11.6352 2.9772
Sc 1.7842 0.0000 3.6539
Sc 0.0000 0.0000 8.8000
```

Compound: Pm3SmSc3
Source: Alexandria
Functional: PBE
Structure: relaxed

Output
**Formation energy**: 1.27 eV/f.u.
**Density of states at the Fermi level**: 1.662 states/eV per atom
**Polymorph energy (0 for the lowest one)**: 0.1291 eV per atom
**Crystal system**: trigonal
**DFT total energy**: -5.24 eV per atom

Structure (extended XYZ):
```
14
Lattice="4.2092 2.4302 7.1071 -4.2092 2.4302 7.1071 0.0000 -4.8604 7.1071" Properties=species:S:1:pos:R:3 pbc="T T T"
Pm -0.6262 -2.0932 6.0755
Pm -1.4997 1.5889 6.0755
Pm -2.1259 -0.5043 15.2459
Pm 2.1259 0.5043 6.0755
Pm 1.4997 -1.5889 15.2458
Pm 0.6262 2.0933 15.2458
Sm 0.0000 0.0000 3.3053
Sm 0.0000 0.0000 18.0160
Sc -0.9037 -1.6313 9.4608
Sc -1.8646 -0.0330 11.8606
Sc -0.9609 1.5983 9.4608
Sc 0.9609 -1.5983 11.8606
Sc 1.8646 0.0330 9.4608
Sc 0.9037 1.6313 11.8606
```

Compound: Pm9Sm2Sc
Source: Alexandria
Functional: PBE
Structure: relaxed

Output
**Formation energy**: 0.31 eV/f.u.
**Density of states at the Fermi level**: 1.665 states/eV per atom
**Crystal system**: tetragonal
**DFT total energy**: -4.85 eV per atom

Structure (extended XYZ):
```
12
Lattice="5.1137 0.0000 0.0000 0.0000 5.1137 0.0000 0.0000 0.0000 15.3196" Properties=species:S:1:pos:R:3 pbc="T T T"
Pm 0.0000 0.0000 0.0000
Pm 0.0000 0.0000 5.0650
Pm 0.0000 0.0000 10.2546
Pm 0.0000 2.5569 2.4722
Pm 0.0000 2.5569 7.6598
Pm 0.0000 2.5569 12.8475
Pm 2.5569 0.0000 2.4722
Pm 2.5569 0.0000 7.6598
Pm 2.5569 0.0000 12.8475
Sm 2.5569 2.5569 5.0622
Sm 2.5569 2.5569 10.2574
Sc 2.5569 2.5569 0.0000
```

Compound: Pm2SmSc
Source: Alexandria
Functional: PBE
Structure: relaxed

Output
**Formation energy**: 0.22 eV/f.u.
**Density of states at the Fermi level**: 1.499 states/eV per atom
**Polymorph energy (0 for the lowest one)**: 0.0169 eV per atom
**Crystal system**: trigonal
**DFT total energy**: -5.08 eV per atom

Structure (extended XYZ):
```
4
Lattice="1.7856 1.0309 11.4701 -1.7856 1.0309 11.4701 0.0000 -2.0618 11.4701" Properties=species:S:1:pos:R:3 pbc="T T T"
Pm 0.0000 0.0000 0.0000
Pm 0.0000 0.0000 5.9946
Sm 0.0000 0.0000 14.4500
Sc 0.0000 0.0000 20.2048
```

Compound: Pm3Sm3Sc2
Source: Alexandria
Functional: PBE
Structure: relaxed

Output
**Formation energy**: 0.62 eV/f.u.
**Density of states at the Fermi level**: 1.655 states/eV per atom
**Polymorph energy (0 for the lowest one)**: 0.0402 eV per atom
**Crystal system**: monoclinic
**DFT total energy**: -5.06 eV per atom

Structure (extended XYZ):
```
8
Lattice="8.4994 -2.7760 0.0000 8.4994 2.7760 0.0000 -1.9178 0.0000 5.4014" Properties=species:S:1:pos:R:3 pbc="T T T"
Pm 0.0000 0.0000 0.0000
Pm 1.0627 0.0000 3.6981
Pm 14.0182 0.0000 1.7033
Sm 4.3925 0.0000 4.8815
Sm 7.5405 0.0000 2.7007
Sm 10.6885 0.0000 0.5199
Sc 3.6505 0.0000 1.6888
Sc 11.4304 0.0000 3.7125
```

Compound: Pm2SmSc
Source: Alexandria
Functional: PBE
Structure: relaxed

Output
**Formation energy**: 0.15 eV/f.u.
**Density of states at the Fermi level**: 1.426 states/eV per atom
**Polymorph energy (0 for the lowest one)**: 0.0000 eV per atom
**Crystal system**: tetragonal
**DFT total energy**: -5.10 eV per atom

Structure (extended XYZ):
```
4
Lattice="5.0195 0.0000 0.0000 0.0000 5.0195 0.0000 0.0000 0.0000 4.9968" Properties=species:S:1:pos:R:3 pbc="T T T"
Pm 0.0000 2.5098 0.0000
Pm 2.5098 0.0000 0.0000
Sm 0.0000 0.0000 2.4984
Sc 2.5098 2.5098 2.4984
```

Compound: Pm4Sm8Sc
Source: Alexandria
Functional: PBE
Structure: relaxed

Output
**Formation energy**: 6.53 eV/f.u.
**Density of states at the Fermi level**: 1.563 states/eV per atom
**Crystal system**: trigonal
**DFT total energy**: -4.35 eV per atom

Structure (extended XYZ):
```
13
Lattice="5.5783 3.2206 4.4615 -5.5783 3.2206 4.4615 0.0000 -6.4412 4.4615" Properties=species:S:1:pos:R:3 pbc="T T T"
Pm 0.0000 0.0000 0.0000
Pm -2.7891 -1.6103 4.4615
Pm -2.7891 1.6103 8.9230
Pm 0.0000 3.2206 4.4615
Sm 0.0000 -3.3034 5.4864
Sm -2.8608 1.6517 5.4864
Sm 0.0000 0.0000 3.2147
Sm -2.8608 -1.6517 7.8981
Sm 2.8608 1.6517 5.4864
Sm 0.0000 0.0000 10.1699
Sm 2.8608 -1.6517 7.8981
Sm 0.0000 3.3034 7.8981
Sc 0.0000 0.0000 6.6923
```

Compound: Pm4Sm10Sc
Source: Alexandria
Functional: PBE
Structure: relaxed

Output
**Formation energy**: 5.14 eV/f.u.
**Density of states at the Fermi level**: 1.437 states/eV per atom
**Crystal system**: tetragonal
**DFT total energy**: -4.49 eV per atom

Structure (extended XYZ):
```
15
Lattice="-4.9349 4.9349 5.2487 4.9349 -4.9349 5.2487 4.9349 4.9349 -5.2487" Properties=species:S:1:pos:R:3 pbc="T T T"
Pm 3.1851 0.5729 0.0000
Pm 4.3620 -1.7498 5.2487
Pm 0.5729 6.6847 0.0000
Pm 1.7498 4.3620 5.2487
Sm 6.0635 2.8855 -1.7023
Sm 2.8855 3.8064 -1.7023
Sm 4.9349 0.0000 2.6244
Sm 2.0494 1.1286 3.5464
Sm 6.0635 2.8855 1.7023
Sm -1.1286 2.0494 3.5464
Sm 2.8855 3.8064 1.7023
Sm 0.0000 4.9349 2.6244
Sm 2.0494 1.1286 6.9510
Sm -1.1286 2.0494 6.9510
Sc 0.0000 0.0000 0.0000
```

Compound: Pm8Sm2Sc
Source: Alexandria
Functional: PBE
Structure: relaxed

Output
**Formation energy**: 2.01 eV/f.u.
**Density of states at the Fermi level**: 1.467 states/eV per atom
**Polymorph energy (0 for the lowest one)**: 0.1561 eV per atom
**Crystal system**: monoclinic
**DFT total energy**: -4.71 eV per atom

Structure (extended XYZ):
```
11
Lattice="9.4868 -3.5108 0.0000 9.4868 3.5108 0.0000 -0.3160 0.0000 5.7620" Properties=species:S:1:pos:R:3 pbc="T T T"
Pm 0.7912 0.0000 1.3385
Pm 7.0112 1.8418 1.5110
Pm 5.7862 0.0000 4.4519
Pm 11.6464 1.8418 4.2511
Pm 7.0112 -1.8418 1.5110
Pm 12.8714 0.0000 1.3102
Pm 11.6464 -1.8418 4.2511
Pm 17.8665 0.0000 4.4236
Sm 4.0435 0.0000 1.5152
Sm 14.6141 0.0000 4.2469
Sc 9.4868 0.0000 0.0000
```

Compound: Pm2SmSc7
Source: Alexandria
Functional: PBE
Structure: relaxed

Output
**Formation energy**: 1.66 eV/f.u.
**Density of states at the Fermi level**: 1.760 states/eV per atom
**Crystal system**: orthorhombic
**DFT total energy**: -5.69 eV per atom

Structure (extended XYZ):
```
10
Lattice="3.0586 -13.7366 0.0000 3.0586 13.7366 0.0000 0.0000 0.0000 3.3239" Properties=species:S:1:pos:R:3 pbc="T T T"
Pm 3.0586 7.9781 0.0000
Pm 3.0586 -7.9781 0.0000
Sm 3.0586 0.0000 1.6619
Sc 0.0000 0.0000 0.0000
Sc 1.5506 2.7044 0.0000
Sc 3.0586 4.9677 1.6619
Sc 1.5506 -2.7044 0.0000
Sc 4.5667 2.7044 0.0000
Sc 3.0586 -4.9677 1.6619
Sc 4.5667 -2.7044 0.0000
```